Entry from Alexandria via LeMat-Bulk: a relaxed Ca5Co3Si4O16 crystal (GGA+U).

Output
Final energy = -199.649 eV/cell
Crystal system = triclinic
Magnetization = 9.01 μB per cell
N(E_F) = 0.00 states/eV/atom

Cell and atoms, written as CIF:
```
data_Ca5Co3Si4O16
_space_group_name_H-M_alt 'P -1'
_space_group_IT_number 2
_cell_length_a 4.9330
_cell_length_b 6.5277
_cell_length_c 11.2880
_cell_angle_alpha 88.89
_cell_angle_beta 89.07
_cell_angle_gamma 89.28
loop_
_space_group_symop_operation_xyz
'x,y,z'
'-x,-y,-z'
loop_
_atom_site_label
_atom_site_type_symbol
_atom_site_fract_x
_atom_site_fract_y
_atom_site_fract_z
_atom_site_occupancy
Ca1 Ca 0.0000 0.0000 0.0000 1
Ca2 Ca 0.0195 0.7430 0.7189 1
Ca3 Ca 0.4819 0.7528 0.2265 1
Co1 Co 0.0000 0.5000 0.0000 1
Co2 Co 0.5000 0.0000 0.5000 1
Co3 Co 0.5000 0.5000 0.5000 1
Si1 Si 0.0890 0.2485 0.5807 1
Si2 Si 0.4188 0.2686 0.0897 1
O1 O 0.2197 0.0445 0.6492 1
O2 O 0.2207 0.4488 0.6461 1
O3 O 0.2445 0.7496 0.4233 1
O4 O 0.2491 0.2498 0.4489 1
O5 O 0.2490 0.7302 0.9113 1
O6 O 0.2686 0.4665 0.1542 1
O7 O 0.2856 0.2681 0.9546 1
O8 O 0.2962 0.0615 0.1581 1
```